[1]
The following is a GGA-PBE calculation of a geometry-optimized NiSbRuI2 structure, from Alexandria.

Lattice parameters (Å, degrees): 5.2727 5.2727 4.8759 90.00 90.00 90.00
Sites, in units of the cell vectors:
1 Ni 0.0000 0.0000 0.0000
2 Sb 0.0000 0.0000 0.5000
3 Ru 0.5000 0.5000 0.5000
4 I 0.0000 0.5000 0.0000
5 I 0.5000 0.0000 0.0000

Output
- E_form (uncorrected): 1042 meV per atom
- Raw total energy: -0.25091 Ry per atom



[2]
The following is a GGA-PBE calculation of a geometry-optimized Dy2HoTh6 structure, from Alexandria.

Lattice parameters (Å, degrees): 9.4808 9.4808 8.9521 103.06 103.06 21.77
Sites, in units of the cell vectors:
1 Dy 0.0932 0.0932 0.3316
2 Dy 0.9068 0.9068 0.6684
3 Ho 0.5000 0.5000 0.0000
4 Th 0.1666 0.1666 0.0018
5 Th 0.2377 0.2377 0.6668
6 Th 0.4234 0.4234 0.3353
7 Th 0.5766 0.5766 0.6647
8 Th 0.7623 0.7623 0.3332
9 Th 0.8334 0.8334 0.9982

Output
- Raw total energy: -0.47207 Ry per atom



[3]
The following is a GGA-PBE calculation of a geometry-optimized Si2TcW structure, from Alexandria.

Lattice parameters (Å, degrees): 4.6585 4.6585 4.4298 105.94 105.94 37.29
Sites, in units of the cell vectors:
1 Si 0.0000 0.0000 0.0000
2 Si 0.7473 0.7473 0.3220
3 Tc 0.4902 0.4902 0.4716
4 W 0.2505 0.2505 0.8321

Output
- E_form (uncorrected): -246 meV per atom
- Raw total energy: -0.64585 Ry per atom



[4]
The following is a GGA-PBE calculation of a geometry-optimized Ho2BPt2Rh4 structure, from Alexandria.

Lattice parameters (Å, degrees): 5.8304 5.8304 5.8304 119.54 119.54 90.79
Sites, in units of the cell vectors:
1 Ho 0.2500 0.7500 0.5000
2 Ho 0.7500 0.2500 0.5000
3 B 0.0000 0.0000 0.0000
4 Pt 0.2598 0.2598 0.0000
5 Pt 0.7402 0.7402 0.0000
6 Rh 0.2555 0.2555 0.5109
7 Rh 0.2555 0.7445 0.0000
8 Rh 0.7445 0.2555 0.0000
9 Rh 0.7445 0.7445 0.4891

Output
- Raw total energy: -0.53357 Ry per atom



[5]
The following is a GGA-PBE calculation of a geometry-optimized AcMg2Au structure, from Alexandria.

Lattice parameters (Å, degrees): 5.9826 5.9826 8.2792 90.00 90.00 134.43
Sites, in units of the cell vectors:
1 Ac 0.0572 0.9428 0.7500
2 Ac 0.9428 0.0572 0.2500
3 Mg 0.3457 0.6543 0.5567
4 Mg 0.3457 0.6543 0.9433
5 Mg 0.6543 0.3457 0.0567
6 Mg 0.6543 0.3457 0.4433
7 Au 0.2290 0.7710 0.2500
8 Au 0.7710 0.2290 0.7500

Output
- Raw total energy: -0.23164 Ry per atom



[6]
The following is a GGA-PBE calculation of a geometry-optimized Os2RuPb structure, from Alexandria.

Lattice parameters (Å, degrees): 4.9246 4.9246 2.8999 90.00 90.00 111.45
Sites, in units of the cell vectors:
1 Os 0.0000 0.5000 0.0000
2 Os 0.5000 0.0000 0.0000
3 Ru 0.0000 0.0000 0.5000
4 Pb 0.5000 0.5000 0.5000

Output
- Raw total energy: -0.58143 Ry per atom



[7]
The following is a GGA-PBE calculation of a geometry-optimized RbTc3F structure, from Alexandria.

Lattice parameters (Å, degrees): 4.7874 4.7874 4.7874 90.00 90.00 90.00
Sites, in units of the cell vectors:
1 Rb 0.0000 0.0000 0.0000
2 Tc 0.0000 0.0000 0.5000
3 Tc 0.0000 0.5000 0.0000
4 Tc 0.5000 0.0000 0.0000
5 F 0.5000 0.5000 0.5000

Output
- E_form (uncorrected): 3312 meV per atom
- Raw total energy: -0.25543 Ry per atom



[8]
The following is a GGA-PBE calculation of a geometry-optimized BeZnTe2 structure, from Alexandria.

Lattice parameters (Å, degrees): 8.0252 8.0252 8.0252 29.57 29.57 29.57
Sites, in units of the cell vectors:
1 Be 0.0000 0.0000 0.0000
2 Zn 0.5000 0.5000 0.5000
3 Te 0.3911 0.3911 0.3911
4 Te 0.6089 0.6089 0.6089

Output
- E_form (uncorrected): 88 meV per atom
- Raw total energy: -0.20084 Ry per atom